# KRuF2 (PBE-GGA, optimized geometry)
data_KRuF2
_symmetry_space_group_name_H-M 'R -3 m'
_symmetry_Int_Tables_number 166
_symmetry_space_group_name_Hall '-R 3 2"'
_cell_length_a 3.0554
_cell_length_b 3.0554
_cell_length_c 22.6924
_cell_angle_alpha 90.00
_cell_angle_beta 90.00
_cell_angle_gamma 120.00
loop_
_atom_site_label
_atom_site_fract_x
_atom_site_fract_y
_atom_site_fract_z
K1 0.0000 0.0000 0.0000
Ru1 0.0000 0.0000 0.5000
F1 0.0000 0.0000 0.4111
# magnetization: 4.376 μB/cell
# D(E_F): 0.3056 states/eV per atom
# V: 183.5 Å³ per cell
# raw formation energy: -1.34 eV per atom

---

# CeAlCuAu6 (PBE-GGA, optimized geometry)
data_CeAlCuAu6
_symmetry_space_group_name_H-M 'I m m a'
_symmetry_Int_Tables_number 74
_symmetry_space_group_name_Hall '-I 2b 2'
_cell_length_a 7.382
_cell_length_b 9.003
_cell_length_c 10.960
_cell_angle_alpha 90.00
_cell_angle_beta 90.00
_cell_angle_gamma 90.00
loop_
_atom_site_label
_atom_site_fract_x
_atom_site_fract_y
_atom_site_fract_z
Ce1 0.000 0.250 0.217
Al1 0.000 0.000 0.000
Cu1 0.250 0.250 0.750
Au1 0.000 0.250 0.516
Au2 0.000 0.250 0.910
Au3 0.200 0.007 0.372
# ΔE_f: -0.2012 eV per atom
# magnetization: 3.861 μB/cell
# D(E_F): 1.0525 states/eV per atom
# V: 728.4 Å³ per cell

---

# La4CdAu3 (PBE-GGA, optimized geometry)
data_La4CdAu3
_symmetry_space_group_name_H-M 'P m m 2'
_symmetry_Int_Tables_number 25
_symmetry_space_group_name_Hall 'P 2 -2'
_cell_length_a 4.023
_cell_length_b 4.913
_cell_length_c 11.674
_cell_angle_alpha 90.00
_cell_angle_beta 90.00
_cell_angle_gamma 90.00
loop_
_atom_site_label
_atom_site_fract_x
_atom_site_fract_y
_atom_site_fract_z
La1 0.000 0.000 0.000
La2 0.000 0.500 0.263
La3 0.500 0.000 0.484
La4 0.500 0.500 0.771
Cd1 0.000 0.000 0.708
Au1 0.000 0.500 0.544
Au2 0.500 0.000 0.216
Au3 0.500 0.500 0.045
# ΔE_f: -0.6681 eV per atom
# magnetization: 0.000 μB/cell
# D(E_F): 0.9715 states/eV per atom
# V: 230.7 Å³ per cell

---

# LiY2HgIr (PBE-GGA, optimized geometry)
data_LiY2HgIr
_symmetry_space_group_name_H-M 'P 4/m m m'
_symmetry_Int_Tables_number 123
_symmetry_space_group_name_Hall '-P 4 2'
_cell_length_a 5.319
_cell_length_b 5.319
_cell_length_c 4.790
_cell_angle_alpha 90.00
_cell_angle_beta 90.00
_cell_angle_gamma 90.00
loop_
_atom_site_label
_atom_site_fract_x
_atom_site_fract_y
_atom_site_fract_z
Li1 0.000 0.000 0.000
Y1 0.000 0.500 0.500
Hg1 0.500 0.500 0.000
Ir1 0.000 0.000 0.500
# ΔE_f: -0.2656 eV per atom
# magnetization: 0.000 μB/cell
# D(E_F): 0.5162 states/eV per atom
# V: 135.5 Å³ per cell

---

Q: Which of these has the highest magnetization?
A: KRuF2